Entry 1:
Here is a relaxed Sr3Li2Tb2Tl4 crystal from the Alexandria database. Energies are from GGA-PBE.

Results
volume = 32.67 Å³ per atom
uncorrected energy = -2.689 eV/atom
symmetry = P-3m1, No. 164

abc: 5.2677 5.2677 14.9558
angles: 90.00 90.00 120.00
With the nearest neighbours (Å) after each atom.
Atoms (fractional coordinates):
Sr 0.0000 0.0000 0.7375  6 Tl 3.39-3.57, 3 Li 3.48
Sr 0.0000 0.0000 0.0000  6 Tl 3.67, 6 Li 3.77, 2 Sr 3.93
Sr 0.0000 0.0000 0.2625  6 Tl 3.39-3.57, 3 Li 3.48
Li 0.6667 0.3333 0.8508  4 Tl 3.05-3.19
Li 0.3333 0.6667 0.1492  4 Tl 3.05-3.19
Tb 0.6667 0.3333 0.4300  4 Tl 3.11-3.20
Tb 0.3333 0.6667 0.5700  4 Tl 3.11-3.20
Tl 0.6667 0.3333 0.1369  3 Li 3.05
Tl 0.3333 0.6667 0.8631  3 Li 3.05
Tl 0.6667 0.3333 0.6376  4 Tb 3.11-3.20, 1 Li 3.19, 3 Sr 3.39
Tl 0.3333 0.6667 0.3624  4 Tb 3.11-3.20, 1 Li 3.19, 3 Sr 3.39

---

Entry 2:
Here is a relaxed Zn2TeF crystal from the Alexandria database. Energies are from GGA-PBE.

Results
volume = 21.93 Å³ per atom
uncorrected energy = -2.604 eV/atom
energy relative to the elements, uncorrected = -713.7 meV per atom
symmetry = I-42d, No. 122

abc: 5.2494 5.2494 7.3684
angles: 69.13 69.13 90.00
With the nearest neighbours (Å) after each atom.
Atoms (fractional coordinates):
Zn 0.5441 0.1250 0.2500  2 F 2.25
Zn 0.2059 0.6250 0.2500  2 F 2.25
Zn 0.3750 0.4559 0.7500  2 F 2.25
Zn 0.8750 0.7941 0.7500  2 F 2.25
Te 0.0000 0.0000 0.0000  4 Zn 2.70
Te 0.7500 0.2500 0.5000  4 Zn 2.70
F 0.5000 0.5000 0.0000  4 Zn 2.25
F 0.2500 0.7500 0.5000  4 Zn 2.25

---

Entry 3:
Here is a relaxed SnPb4Se5 crystal from the Alexandria database. Energies are from GGA-PBE.

Results
volume = 29.42 Å³ per atom
uncorrected energy = -4.167 eV/atom
energy relative to the elements, uncorrected = -541.3 meV per atom
symmetry = R-3m, No. 166

abc: 18.0246 18.0246 18.0246
angles: 13.90 13.90 13.90
With the nearest neighbours (Å) after each atom.
Atoms (fractional coordinates):
Pb 0.6010 0.6010 0.6010  6 Se 3.10
Pb 0.2003 0.2003 0.2003  6 Se 3.10
Pb 0.7997 0.7997 0.7997  6 Se 3.10
Pb 0.3990 0.3990 0.3990  6 Se 3.10
Sn 0.0000 0.0000 0.0000  6 Se 3.04
Se 0.6985 0.6985 0.6985  3 Sn 3.04, 3 Pb 3.10
Se 0.5000 0.5000 0.5000  6 Pb 3.10
Se 0.0993 0.0993 0.0993  6 Pb 3.10
Se 0.3015 0.3015 0.3015  3 Sn 3.04, 3 Pb 3.10
Se 0.9007 0.9007 0.9007  6 Pb 3.10

---

Entry 4:
Here is a relaxed LuCuPb2 crystal from the Alexandria database. Energies are from GGA-PBE.

Results
volume = 26.89 Å³ per atom
uncorrected energy = -3.789 eV/atom
symmetry = R-3m, No. 166

abc: 3.4641 3.4641 10.5412
angles: 80.54 80.54 60.00
With the nearest neighbours (Å) after each atom.
Atoms (fractional coordinates):
Pb 0.1007 0.1007 0.6979  3 Cu 2.86, 1 Lu 3.13
Pb 0.8993 0.8993 0.3021  3 Cu 2.86, 1 Lu 3.13
Lu 0.0000 0.0000 0.0000  2 Pb 3.13, 6 Lu 3.46
Cu 0.5000 0.5000 0.5000  6 Pb 2.86

---

The highest volume belongs to which entry? Sr3Li2Tb2Tl4